Record 1
{
  "formula": "Cs2LiRuO4",
  "functional": "PBE",
  "state": "optimized geometry",
  "lattice_angstrom": [[0.000, 6.488, 10.452], [2.595, 0.000, 10.452], [2.595, 6.488, 0.000]],
  "species": ["Cs", "Cs", "Cs", "Cs", "Li", "Li", "Ru", "Ru", "O", "O", "O", "O", "O", "O", "O", "O"],
  "frac_coords": [[0.047, 0.047, 0.703], [0.297, 0.297, 0.953], [0.703, 0.703, 0.047], [0.953, 0.953, 0.297], [0.125, 0.125, 0.125], [0.875, 0.875, 0.875], [0.375, 0.375, 0.375], [0.625, 0.625, 0.625], [0.013, 0.661, 0.560], [0.266, 0.560, 0.661], [0.339, 0.987, 0.734], [0.440, 0.734, 0.987], [0.560, 0.266, 0.013], [0.661, 0.013, 0.266], [0.734, 0.440, 0.339], [0.987, 0.339, 0.440]],
  "m_tot_mub_per_cell": 2.07,
  "final_energy_ev_per_cell": -86.53
}


Record 2
{
  "formula": "La3CdPt",
  "functional": "PBE",
  "state": "optimized geometry",
  "lattice_angstrom": [[5.695, 0.000, 0.000], [0.000, 5.695, 0.000], [0.000, 0.000, 5.695]],
  "species": ["La", "La", "La", "Cd", "Pt"],
  "frac_coords": [[0.000, 0.000, 0.500], [0.000, 0.500, 0.000], [0.500, 0.000, 0.000], [0.500, 0.500, 0.500], [0.000, 0.000, 0.000]],
  "m_tot_mub_per_cell": 0.00,
  "final_energy_ev_per_cell": -23.68,
  "formation_enthalpy_0k_kj_per_mol_fu": -188,
  "polymorph_energy_mev_per_atom": 191
}


Record 3
{
  "formula": "BaRuO3",
  "functional": "PBE",
  "state": "optimized geometry",
  "lattice_angstrom": [[4.549, 0.000, 0.000], [0.000, 4.549, 0.000], [0.000, 0.000, 4.549]],
  "species": ["Ba", "Ru", "O", "O", "O"],
  "frac_coords": [[0.000, 0.000, 0.000], [0.500, 0.500, 0.500], [0.000, 0.000, 0.500], [0.000, 0.500, 0.000], [0.500, 0.000, 0.000]],
  "m_tot_mub_per_cell": 4.27,
  "final_energy_ev_per_cell": -22.88
}


Record 4
{
  "formula": "Li3Sm3PaS8",
  "functional": "PBE",
  "state": "optimized geometry",
  "lattice_angstrom": [[4.027, 2.325, 6.164], [-4.027, 2.325, 6.164], [0.000, -4.650, 6.164]],
  "species": ["Li", "Li", "Li", "Sm", "Sm", "Sm", "Pa", "S", "S", "S", "S", "S", "S", "S", "S"],
  "frac_coords": [[0.000, 0.500, 0.500], [0.500, 0.000, 0.500], [0.500, 0.500, 0.000], [0.000, 0.000, 0.500], [0.000, 0.500, 0.000], [0.500, 0.000, 0.000], [0.500, 0.500, 0.500], [0.252, 0.252, 0.252], [0.257, 0.257, 0.739], [0.257, 0.739, 0.257], [0.261, 0.743, 0.743], [0.739, 0.257, 0.257], [0.743, 0.261, 0.743], [0.743, 0.743, 0.261], [0.748, 0.748, 0.748]],
  "m_tot_mub_per_cell": 0.93,
  "final_energy_ev_per_cell": -88.66
}


Copy entry 2 word for word.
{
  "formula": "La3CdPt",
  "functional": "PBE",
  "state": "optimized geometry",
  "lattice_angstrom": [[5.695, 0.000, 0.000], [0.000, 5.695, 0.000], [0.000, 0.000, 5.695]],
  "species": ["La", "La", "La", "Cd", "Pt"],
  "frac_coords": [[0.000, 0.000, 0.500], [0.000, 0.500, 0.000], [0.500, 0.000, 0.000], [0.500, 0.500, 0.500], [0.000, 0.000, 0.000]],
  "m_tot_mub_per_cell": 0.00,
  "final_energy_ev_per_cell": -23.68,
  "formation_enthalpy_0k_kj_per_mol_fu": -188,
  "polymorph_energy_mev_per_atom": 191
}